Entry 1:
LaPuTl2S4 | PBE-GGA | relaxed

Summary:
Formation energy (no corrections)   -1.35 eV/atom
Uncorrected energy   -6.4138 eV/atom
Space-group type   P2/m
M_tot   5.00 μB/cell

Cell: 4.1901 7.2777 7.8210 Å, 108.07 90.00 90.00°
Fractional positions:
La 0.5000 0.5000 0.0000
Pu 0.0000 0.0000 0.0000
Tl 0.5000 0.0000 0.5000
Tl 0.0000 0.5000 0.5000
S 0.5000 0.2217 0.1969
S 0.5000 0.7783 0.8031
S 0.0000 0.2571 0.7966
S 0.0000 0.7429 0.2034

Entry 2:
Na2ZrF8 | PBE-GGA | relaxed

Summary:
Formation energy (no corrections)   -2.62 eV/atom
Uncorrected energy   -4.9979 eV/atom
Space-group type   C2/m
M_tot   0.69 μB/cell

Cell: 3.7548 6.3929 7.8734 Å, 99.12 90.00 107.08°
Fractional positions:
Na 0.7458 0.4915 0.7748
Na 0.2542 0.5085 0.2252
Zr 0.5000 0.0000 0.0000
F 0.4379 0.8759 0.2265
F 0.6756 0.3511 0.0780
F 0.7515 0.5030 0.4877
F 0.9449 0.8898 0.8628
F 0.2485 0.4970 0.5123
F 0.3244 0.6489 0.9220
F 0.5621 0.1241 0.7735
F 0.0551 0.1102 0.1372

Entry 3:
Sr2TaSb | PBE-GGA | relaxed

Summary:
Formation energy (no corrections)   0.57 eV/atom
Uncorrected energy   -4.2653 eV/atom
Space-group type   C2/m
M_tot   2.08 μB/cell

Cell: 5.6000 5.6000 6.9315 Å, 83.50 83.50 34.91°
Fractional positions:
Sb 0.2500 0.2500 0.2500
Sr 0.9961 0.9961 0.9980
Sr 0.5039 0.5039 0.5020
Ta 0.7500 0.7500 0.7500

Entry 4:
DyZrTe4 | PBE-GGA | relaxed

Summary:
Formation energy (no corrections)   -0.79 eV/atom
Uncorrected energy   -5.0764 eV/atom
Space-group type   P2_1/c
M_tot   0.00 μB/cell

Cell: 7.3114 7.3704 7.2759 Å, 90.00 88.19 90.00°
Fractional positions:
Dy 0.5000 0.0000 0.5000
Dy 0.0000 0.5000 0.5000
Zr 0.0000 0.0000 0.0000
Zr 0.5000 0.5000 0.0000
Te 0.8443 0.6479 0.1277
Te 0.6557 0.1479 0.8723
Te 0.3845 0.3716 0.3594
Te 0.1155 0.8716 0.6406
Te 0.1557 0.3521 0.8723
Te 0.3443 0.8521 0.1277
Te 0.6155 0.6284 0.6406
Te 0.8845 0.1284 0.3594

Entry 5:
NaCa2H | PBE-GGA | relaxed

Summary:
Uncorrected energy   -1.7746 eV/atom
Space-group type   Fm-3m
M_tot   0.00 μB/cell

Cell: 5.5177 5.5177 5.5177 Å, 60.00 60.00 60.00°
Fractional positions:
Na 0.5000 0.5000 0.5000
Ca 0.2500 0.2500 0.2500
Ca 0.7500 0.7500 0.7500
H 0.0000 0.0000 0.0000

Entry 6:
DyTm3Pt12 | PBE-GGA | relaxed

Summary:
Energy relative to the elements   -1.074 eV per atom
Uncorrected energy   -6.7303 eV/atom
Space-group type   P4/mmm
M_tot   0.00 μB/cell

Cell: 4.1042 4.1042 16.3512 Å, 90.00 90.00 90.00°
Fractional positions:
Dy 0.0000 0.0000 0.0000
Tm 0.0000 0.0000 0.2508
Tm 0.0000 0.0000 0.5000
Tm 0.0000 0.0000 0.7492
Pt 0.5000 0.5000 0.0000
Pt 0.5000 0.5000 0.2510
Pt 0.5000 0.5000 0.5000
Pt 0.5000 0.5000 0.7490
Pt 0.5000 0.0000 0.1266
Pt 0.5000 0.0000 0.3755
Pt 0.5000 0.0000 0.6245
Pt 0.5000 0.0000 0.8734
Pt 0.0000 0.5000 0.1266
Pt 0.0000 0.5000 0.3755
Pt 0.0000 0.5000 0.6245
Pt 0.0000 0.5000 0.8734

Entry 7:
Al4OsPd2 | PBE-GGA | relaxed

Summary:
Energy relative to the elements   -0.623 eV per atom
Uncorrected energy   -5.8490 eV/atom
Space-group type   Cmmm
M_tot   0.00 μB/cell

Cell: 4.2802 5.1961 5.1961 Å, 109.14 90.00 90.00°
Fractional positions:
Os 0.5000 0.5000 0.5000
Al 0.0000 0.7626 0.7626
Al 0.0000 0.2374 0.2374
Al 0.5000 0.0000 0.5000
Al 0.5000 0.5000 0.0000
Pd 0.0000 0.7439 0.2561
Pd 0.0000 0.2561 0.7439

Entry 8:
Pr12Sm6Ho | PBE-GGA | relaxed

Summary:
Energy relative to the elements   0.125 eV per atom
Uncorrected energy   -4.6250 eV/atom
Space-group type   R-3
M_tot   0.00 μB/cell

Cell: 8.7918 8.7918 8.7918 Å, 89.08 89.08 89.08°
Fractional positions:
Pr 0.7811 0.5360 0.4336
Pr 0.4336 0.7811 0.5360
Pr 0.5360 0.4336 0.7811
Pr 0.2189 0.4640 0.5664
Pr 0.5664 0.2189 0.4640
Pr 0.4640 0.5664 0.2189
Pr 0.0176 0.1921 0.3611
Pr 0.8079 0.6389 0.9824
Pr 0.6389 0.9824 0.8079
Pr 0.9824 0.8079 0.6389
Pr 0.1921 0.3611 0.0176
Pr 0.3611 0.0176 0.1921
Sm 0.7392 0.9032 0.2982
Sm 0.7018 0.2608 0.0968
Sm 0.0968 0.7018 0.2608
Sm 0.2608 0.0968 0.7018
Sm 0.2982 0.7392 0.9032
Sm 0.9032 0.2982 0.7392
Ho 0.0000 0.0000 0.0000

What did the fourth record say?
DyZrTe4 | PBE-GGA | relaxed

Summary:
Formation energy (no corrections)   -0.79 eV/atom
Uncorrected energy   -5.0764 eV/atom
Space-group type   P2_1/c
M_tot   0.00 μB/cell

Cell: 7.3114 7.3704 7.2759 Å, 90.00 88.19 90.00°
Fractional positions:
Dy 0.5000 0.0000 0.5000
Dy 0.0000 0.5000 0.5000
Zr 0.0000 0.0000 0.0000
Zr 0.5000 0.5000 0.0000
Te 0.8443 0.6479 0.1277
Te 0.6557 0.1479 0.8723
Te 0.3845 0.3716 0.3594
Te 0.1155 0.8716 0.6406
Te 0.1557 0.3521 0.8723
Te 0.3443 0.8521 0.1277
Te 0.6155 0.6284 0.6406
Te 0.8845 0.1284 0.3594